This record from the Alexandria database describes a geometry-optimized Na2GaNi3F12 structure. The functional is PBE with a Hubbard U. Values from VASP.

Calculated values
The total energy is -4.240 eV/atom. As for the space-group type: R-3m.

Cell and atoms, written as Quantum ESPRESSO input:
```
&SYSTEM
  ibrav = 0, nat = 18, ntyp = 4
/
ATOMIC_SPECIES
Na 22.99 Na.upf
Ga 69.72 Ga.upf
Ni 58.69 Ni.upf
F 19.00 F.upf
CELL_PARAMETERS angstrom
3.5262 2.0358 6.0279
-3.5262 2.0358 6.0279
0.0000 -4.0717 6.0279
ATOMIC_POSITIONS crystal
Na 0.0944 0.0944 0.0944
Na 0.9056 0.9056 0.9056
Ga 0.5000 0.5000 0.5000
Ni 0.0000 0.5000 0.5000
Ni 0.5000 0.0000 0.5000
Ni 0.5000 0.5000 0.0000
F 0.1685 0.1685 0.5850
F 0.1685 0.5850 0.1685
F 0.1813 0.5715 0.5715
F 0.4150 0.8315 0.8315
F 0.4285 0.4285 0.8187
F 0.4285 0.8187 0.4285
F 0.5715 0.1813 0.5715
F 0.5715 0.5715 0.1813
F 0.5850 0.1685 0.1685
F 0.8187 0.4285 0.4285
F 0.8315 0.4150 0.8315
F 0.8315 0.8315 0.4150
```